Entry 1:
Entry from the Alexandria database: an optimized crystal structure of GaCoPtO6 (PBE+U).

Lattice parameters (Å, degrees): 5.1073 5.1073 8.4559 90.00 90.00 120.00
Last column: nearest neighbours and their distance in Å.
Space group P-31c (No. 163)
One atom of each set of equivalent atoms:
Ga1 0.3333 0.6667 0.2500 [2 per cell]  6 O 1.98
Co1 0.0000 0.0000 0.0000 [2 per cell]  6 O 2.05
Pt1 0.3333 0.6667 0.7500 [2 per cell]  6 O 1.98
O1 0.0008 0.3438 0.6252 [12 per cell]  1 Pt 1.98, 1 Ga 1.98, 1 Co 2.05

Magnetization (μB/f.u.): 3.88

***

Entry 2:
Entry from the Alexandria database: an optimized crystal structure of GaCo2PtO (PBE+U).

Lattice parameters (Å, degrees): 3.8234 3.8234 4.5176 90.00 90.00 90.00
Last column: nearest neighbours and their distance in Å.
Space group P4/mmm (No. 123)
One atom of each set of equivalent atoms:
Ga1 0.0000 0.0000 0.0000 [1 per cell]  2 O 2.26
Co1 0.0000 0.5000 0.5000 [2 per cell]  2 O 1.91
Pt1 0.5000 0.5000 0.0000 [1 per cell]  4 Ga 2.70, 8 Co 2.96
O1 0.0000 0.0000 0.5000 [1 per cell]  4 Co 1.91

Magnetization (μB/f.u.): 4.24

***

Entry 3:
Entry from the Alexandria database: an optimized crystal structure of PuGaCo2O6 (PBE+U).

Lattice parameters (Å, degrees): 5.1915 5.1915 14.2179 90.00 90.00 120.00
Last column: nearest neighbours and their distance in Å.
Space group R3 (No. 146, hexagonal axes)
One atom of each set of equivalent atoms:
Pu1 0.0000 0.0000 0.0000 [3 per cell]  6 O 2.18-2.28
Ga1 0.0000 0.0000 0.4898 [3 per cell]  6 O 2.00-2.05
Co1 0.0000 0.0000 0.2828 [3 per cell]  6 O 2.04-2.25
Co2 0.0000 0.0000 0.7992 [3 per cell]  6 O 1.94-2.00
O1 0.0121 0.3887 0.0631 [9 per cell]  1 Co 1.94, 1 Ga 2.05
O2 0.0307 0.6714 0.5517 [9 per cell]  1 Ga 2.00, 2 Co 2.00-2.04

Magnetization (μB/f.u.): 7.00

***

Entry 4:
Entry from the Alexandria database: an optimized crystal structure of PuGa2CoO8 (PBE+U).

Lattice parameters (Å, degrees): 6.5328 6.5328 6.7847 90.00 90.00 90.00
Last column: nearest neighbours and their distance in Å.
Space group I-4m2 (No. 119)
One atom of each set of equivalent atoms:
Pu1 0.0000 0.0000 0.0000 [2 per cell]  4 O 2.01
Ga1 0.0000 0.0000 0.5000 [2 per cell]  4 O 1.89
Ga2 0.0000 0.5000 0.2500 [2 per cell]  4 O 1.83
Co1 0.0000 0.5000 0.7500 [2 per cell]  4 O 2.01
O1 0.0000 0.1965 0.7036 [8 per cell]  1 Ga 1.89, 1 Co 2.01
O2 0.0000 0.3010 0.0605 [8 per cell]  1 Ga 1.83, 1 Pu 2.01

Magnetization (μB/f.u.): 3.63

***

Entry 5:
Entry from the Alexandria database: an optimized crystal structure of PuGaCoO6 (PBE+U).

Lattice parameters (Å, degrees): 5.1886 5.1886 9.0687 90.00 90.00 120.00
Last column: nearest neighbours and their distance in Å.
Space group P-31c (No. 163)
One atom of each set of equivalent atoms:
Pu1 0.3333 0.6667 0.2500 [2 per cell]  6 O 2.03
Ga1 0.3333 0.6667 0.7500 [2 per cell]  6 O 2.02
Co1 0.0000 0.0000 0.0000 [2 per cell]  6 O 2.13
O1 0.0013 0.3418 0.6304 [12 per cell]  1 Ga 2.02, 1 Pu 2.03, 1 Co 2.13

Magnetization (μB/f.u.): 3.99

***

Entry 6:
Entry from the Alexandria database: an optimized crystal structure of RbGaCoO3 (PBE+U).

Lattice parameters (Å, degrees): 3.0814 13.3121 11.1293 90.00 90.00 90.00
Last column: nearest neighbours and their distance in Å.
Space group Cmcm (No. 63)
One atom of each set of equivalent atoms:
Rb1 0.0000 0.1714 0.2500 [4 per cell]  6 O 2.85-2.96, 2 Rb 3.08
Ga1 0.0000 0.4310 0.2500 [4 per cell]  4 O 1.87-1.89
Co1 0.0000 0.0000 0.0000 [4 per cell]  4 O 2.02
O1 0.0000 0.1488 0.7500 [4 per cell]  2 Ga 1.87
O2 0.0000 0.4818 0.6159 [8 per cell]  1 Ga 1.89, 2 Co 2.02

Magnetization (μB/f.u.): 3.00

***

Entry 7:
Entry from the Alexandria database: an optimized crystal structure of GaCoRhO4 (PBE+U).

Lattice parameters (Å, degrees): 5.7522 8.1646 6.9314 90.00 90.00 90.00
Last column: nearest neighbours and their distance in Å.
Space group Cmcm (No. 63)
One atom of each set of equivalent atoms:
Ga1 0.0000 0.1373 0.2500 [4 per cell]  4 O 1.85-1.87
Co1 0.0000 0.5000 0.0000 [4 per cell]  2 O 1.98
Rh1 0.0000 0.2192 0.7500 [4 per cell]  2 O 1.93
O1 0.0000 0.2583 0.0242 [8 per cell]  1 Ga 1.85, 1 Rh 1.93, 1 Co 1.98
O2 0.2419 0.4979 0.2500 [8 per cell]  1 Ga 1.87

Magnetization (μB/f.u.): 4.02

***

Entry 8:
Entry from the Alexandria database: an optimized crystal structure of GaCoRh2O6 (PBE+U).

Lattice parameters (Å, degrees): 5.1288 5.1288 4.8226 90.00 90.00 90.00
Last column: nearest neighbours and their distance in Å.
Space group P4mm (No. 99)
One atom of each set of equivalent atoms:
Ga1 0.0000 0.0000 0.0000 [1 per cell]  1 O 1.79
Co1 0.5000 0.5000 0.9971 [1 per cell]  1 O 1.70
Rh1 0.0000 0.5000 0.3718 [2 per cell]  4 O 2.03
O1 0.0000 0.0000 0.6294 [1 per cell]  1 Ga 1.79
O2 0.2487 0.2487 0.1815 [4 per cell]  1 Ga 2.00, 1 Co 2.03, 2 Rh 2.03
O3 0.5000 0.5000 0.6445 [1 per cell]  1 Co 1.70

Magnetization (μB/f.u.): 3.92

***

Entry 9:
Entry from the Alexandria database: an optimized crystal structure of Ga2CoRhO (PBE+U).

Lattice parameters (Å, degrees): 4.2669 4.2669 3.7162 90.00 90.00 90.00
Last column: nearest neighbours and their distance in Å.
Space group P4/mmm (No. 123)
One atom of each set of equivalent atoms:
Ga1 0.0000 0.5000 0.0000 [2 per cell]  2 O 2.13
Co1 0.0000 0.0000 0.5000 [1 per cell]  2 O 1.86
Rh1 0.5000 0.5000 0.5000 [1 per cell]  8 Ga 2.83, 4 Co 3.02
O1 0.0000 0.0000 0.0000 [1 per cell]  2 Co 1.86

Magnetization (μB/f.u.): 1.65

***

Entry 10:
Entry from the Alexandria database: an optimized crystal structure of GaCoRuO6 (PBE+U).

Lattice parameters (Å, degrees): 4.9618 4.9618 8.3404 90.00 90.00 120.00
Last column: nearest neighbours and their distance in Å.
Space group P-31c (No. 163)
One atom of each set of equivalent atoms:
Ga1 0.3333 0.6667 0.2500 [2 per cell]  6 O 1.98
Co1 0.0000 0.0000 0.0000 [2 per cell]  6 O 1.95
Ru1 0.3333 0.6667 0.7500 [2 per cell]  6 O 1.95
O1 0.0050 0.3377 0.6228 [12 per cell]  1 Ru 1.95, 1 Co 1.95, 1 Ga 1.98

Magnetization (μB/f.u.): 1.57

***

Entry 11:
Entry from the Alexandria database: an optimized crystal structure of GaCoSbO6 (PBE+U).

Lattice parameters (Å, degrees): 5.1479 5.1479 8.6008 90.00 90.00 120.00
Last column: nearest neighbours and their distance in Å.
Space group P-31c (No. 163)
One atom of each set of equivalent atoms:
Ga1 0.3333 0.6667 0.2500 [2 per cell]  6 O 2.00
Co1 0.0000 0.0000 0.0000 [2 per cell]  6 O 2.05
Sb1 0.3333 0.6667 0.7500 [2 per cell]  6 O 2.02
O1 0.0017 0.3371 0.1268 [12 per cell]  1 Ga 2.00, 1 Sb 2.02, 1 Co 2.05

Magnetization (μB/f.u.): 5.02

***

Entry 12:
Entry from the Alexandria database: an optimized crystal structure of Ga2CoSeO (PBE+U).

Lattice parameters (Å, degrees): 4.9597 4.9597 3.5150 90.00 90.00 90.00
Last column: nearest neighbours and their distance in Å.
Space group P4/mmm (No. 123)
One atom of each set of equivalent atoms:
Ga1 0.0000 0.5000 0.0000 [2 per cell]  2 Co 2.48
Co1 0.0000 0.0000 0.0000 [1 per cell]  2 O 1.76
Se1 0.5000 0.5000 0.5000 [1 per cell]  8 Ga 3.04
O1 0.0000 0.0000 0.5000 [1 per cell]  2 Co 1.76

Magnetization (μB/f.u.): 1.75

***

no.,electronic total energy (eV for the cell shown)
1,-101.56
2,-25.43
3,-223.89
4,-164.75
5,-136.09
6,-130.94
7,-165.26
8,-57.98
9,-24.44
10,-111.01
11,-103.90
12,-20.64